No. 1
Compound: LiUCuSn
Source: the Alexandria database
Functional: PBE
Structure: optimized geometry

* energy of formation: 0.085 eV/atom

Geometry as extended XYZ:
```
4
Lattice="4.753 0.000 0.000 2.377 4.116 0.000 2.377 1.372 3.881" Properties=species:S:1:pos:R:3 pbc="T T T"
Sn 4.753 2.744 1.940
Cu 2.377 1.372 0.970
Li 7.130 4.116 2.911
U 0.000 0.000 0.000
```

=====

No. 2
Compound: LiYCu2Sn
Source: the Alexandria database
Functional: PBE
Structure: optimized geometry

* energy of formation: 0.987 eV/atom

Geometry as extended XYZ:
```
5
Lattice="-3.590 3.203 -1.429 -3.809 -3.422 1.897 0.218 2.244 4.484" Properties=species:S:1:pos:R:3 pbc="T T T"
Y 0.000 0.000 0.000
Sn -3.590 1.012 2.476
Cu 0.109 1.122 2.242
Cu -1.795 1.602 -0.714
Li -1.904 -1.711 0.949
```

=====

No. 3
Compound: SrLi2Cu2
Source: the Alexandria database
Functional: PBE
Structure: optimized geometry

* energy of formation: 0.108 eV/atom
* offset from the most stable computed form: 12.91 kJ/mol of atoms

Geometry as extended XYZ:
```
10
Lattice="-5.617 3.941 3.532 -2.966 -6.610 2.658 1.811 0.238 2.614" Properties=species:S:1:pos:R:3 pbc="T T T"
Li -4.758 -4.323 3.691
Li -6.786 -0.613 4.758
Li -3.825 1.654 2.499
Li -1.797 -2.056 1.432
Cu -2.024 -3.636 3.679
Cu -4.747 1.205 5.125
Cu -1.456 0.311 2.926
Cu -5.316 -2.742 5.878
Sr -4.291 -1.335 3.095
Sr 0.000 0.000 0.000
```

=====

No. 4
Compound: Sr3Li2Cu
Source: the Alexandria database
Functional: PBE
Structure: optimized geometry

* energy of formation: -0.007 eV/atom

Geometry as extended XYZ:
```
24
Lattice="-0.554 0.483 4.496 -11.741 -6.786 -0.718 6.602 -11.642 2.065" Properties=species:S:1:pos:R:3 pbc="T T T"
Li -0.625 -12.444 2.414
Li -0.676 -7.931 4.231
Li -2.371 -1.182 3.297
Li -7.362 -14.556 4.119
Li -5.017 -10.014 1.612
Li 1.669 -3.389 1.724
Li -3.321 -16.763 2.546
Li -5.068 -5.501 3.428
Sr -7.646 -10.771 3.677
Sr -1.068 -4.239 3.786
Sr -4.138 -2.965 0.962
Sr -2.860 -7.423 1.599
Sr -6.969 -7.332 1.083
Sr -4.624 -13.705 2.057
Sr -10.806 -7.402 2.925
Sr 5.114 -10.543 2.917
Sr -1.555 -14.980 4.880
Sr 1.953 -7.174 2.166
Sr -2.833 -10.522 4.243
Sr 1.277 -10.613 4.760
Cu -0.831 -2.133 1.281
Cu -5.260 -8.313 3.707
Cu -0.432 -9.632 2.136
Cu -4.862 -15.812 4.562
```

=====

- What is the formula in the first record?
  LiUCuSn

=====

- What is the formula in the fourth record?
  Sr3Li2Cu

=====

- The highest energy of formation belongs to which entry?
  LiYCu2Sn